1.
Sr2Ti2Sb2OF2 | PBE | relaxed

The structure in CIF format:
```
data_Sr2Ti2Sb2OF2
_chemical_formula_sum 'Sr2 Ti2 Sb2 O1 F2'
_cell_length_a 11.061
_cell_length_b 11.061
_cell_length_c 11.061
_cell_angle_alpha 158.56
_cell_angle_beta 158.56
_cell_angle_gamma 30.51
_space_group_name_H-M_alt 'P 1'
_space_group_IT_number 1
loop_
_space_group_symop_operation_xyz
'x,y,z'
loop_
_atom_site_label
_atom_site_type_symbol
_atom_site_fract_x
_atom_site_fract_y
_atom_site_fract_z
Sr1 Sr 0.183 0.183 0.000
Sr2 Sr 0.817 0.817 0.000
Ti1 Ti 0.000 0.500 0.500
Ti2 Ti 0.500 0.000 0.500
Sb1 Sb 0.405 0.405 0.000
Sb2 Sb 0.595 0.595 0.000
O1 O 0.000 0.000 0.000
F1 F 0.250 0.750 0.500
F2 F 0.750 0.250 0.500
```

Computed properties:
E_form (uncorrected): -2.239 eV per atom
space group: No. 139

=====

2.
TaSbOF2 | PBE | relaxed

The structure in CIF format:
```
data_TaSbOF2
_chemical_formula_sum 'Ta1 Sb1 O1 F2'
_cell_length_a 4.409
_cell_length_b 4.409
_cell_length_c 4.535
_cell_angle_alpha 90.00
_cell_angle_beta 90.00
_cell_angle_gamma 90.00
_space_group_name_H-M_alt 'P 1'
_space_group_IT_number 1
loop_
_space_group_symop_operation_xyz
'x,y,z'
loop_
_atom_site_label
_atom_site_type_symbol
_atom_site_fract_x
_atom_site_fract_y
_atom_site_fract_z
Ta1 Ta 0.000 0.000 0.000
Sb1 Sb 0.500 0.500 0.500
O1 O 0.500 0.500 0.000
F1 F 0.000 0.500 0.500
F2 F 0.500 0.000 0.500
```

Computed properties:
energy above the most stable polymorph in this dataset: 1208 meV/atom
E_form (uncorrected): -0.184 eV per atom
space group: No. 123